# 1
SrLiCa2, relaxed, DFT GGA-PBEsol; space group = No. 44; ρ = 1864 kg/m3; calculated formation energy = 0.05 eV per atom; energy above the most stable polymorph in this dataset = 0.033 eV/atom
1.0
4.153 0.000 0.000
0.000 6.198 -0.046
-2.076 -3.057 6.070
Sr Ca Li
1 2 1
Direct
0.775 0.275 0.550 Sr
0.995 0.995 0.991 Ca
0.222 0.722 0.444 Ca
0.508 0.508 0.015 Li



# 2
SrLiCa, relaxed, DFT GGA-PBEsol; space group = No. 107; ρ = 1968 kg/m3; calculated formation energy = 0.02 eV per atom
1.0
-1.982 2.578 -2.474
-1.909 -3.156 -1.759
-3.086 0.792 6.672
Sr Ca Li
1 1 1
Direct
0.682 0.682 0.364 Sr
0.976 0.976 0.952 Ca
0.342 0.342 0.684 Li



# 3
SrLiCa2, relaxed, DFT GGA-PBEsol; space group = No. 139; ρ = 1844 kg/m3; calculated formation energy = 0.08 eV per atom; energy above the most stable polymorph in this dataset = 0.066 eV/atom
1.0
-2.208 -4.326 -2.007
-0.799 -1.844 4.856
-3.595 5.628 -1.297
Sr Ca Li
1 2 1
Direct
0.000 0.000 0.000 Sr
0.750 0.250 0.500 Ca
0.250 0.750 0.500 Ca
0.500 0.500 0.000 Li



# 4
LiCaTa2, relaxed, DFT GGA-PBEsol; space group = No. 123; ρ = 8432 kg/m3; calculated formation energy = 0.71 eV per atom; energy above the most stable polymorph in this dataset = 0.112 eV/atom
1.0
-0.246 -3.270 2.040
2.046 1.621 2.846
-4.565 1.764 2.277
Ca Li Ta
1 1 2
Direct
0.500 0.500 0.500 Ca
0.000 0.000 0.500 Li
0.000 0.500 0.000 Ta
0.500 0.000 0.000 Ta



Question: What is the formula in the second record?
Answer: SrLiCa